No. 1
Density functional theory data (GGA-PBE) for a geometry-optimized Sr7Y6OF30 structure.

Properties
N(E_F), states/eV/cell: 0.00
E_tot, eV per cell: -288.66

a b c (Å): 9.1108 9.1108 9.1108
angles (deg): 107.45 107.45 107.45
With the nearest neighbours (Å) after each atom.
Element x y z (fractional)
1 Sr 0.8240 0.2686 0.4144  7 F 2.46-2.67
2 Sr 0.4144 0.8240 0.2686  7 F 2.46-2.67
3 Sr 0.2686 0.4144 0.8240  7 F 2.46-2.67
4 Sr 0.1884 0.7390 0.6010  8 F 2.51-2.65
5 Sr 0.6010 0.1884 0.7390  8 F 2.51-2.65
6 Sr 0.7390 0.6010 0.1884  8 F 2.51-2.65
7 Sr 0.4699 0.4699 0.4699  9 F 2.54-2.82
8 Y 0.8703 0.9405 0.6608  1 O 2.21, 5 F 2.28-2.38
9 Y 0.6608 0.8703 0.9405  1 O 2.21, 5 F 2.28-2.38
10 Y 0.9405 0.6608 0.8703  1 O 2.21, 5 F 2.28-2.38
11 Y 0.1242 0.0443 0.3754  8 F 2.25-2.32
12 Y 0.3754 0.1242 0.0443  8 F 2.25-2.32
13 Y 0.0443 0.3754 0.1242  8 F 2.25-2.32
14 O 0.8816 0.8816 0.8816  3 Y 2.21
15 F 0.6352 0.7142 0.4090  1 Y 2.38, 2 Sr 2.55-2.60
16 F 0.4090 0.6352 0.7142  1 Y 2.38, 2 Sr 2.55-2.60
17 F 0.7142 0.4090 0.6352  1 Y 2.38, 2 Sr 2.55-2.60
18 F 0.3615 0.2775 0.6020  1 Y 2.32, 2 Sr 2.54-2.55
19 F 0.6020 0.3615 0.2775  1 Y 2.32, 2 Sr 2.54-2.55
20 F 0.2775 0.6020 0.3615  1 Y 2.32, 2 Sr 2.54-2.55
21 F 0.1150 0.2743 0.3261  2 Y 2.29-2.30
22 F 0.3261 0.1150 0.2743  2 Y 2.29-2.30
23 F 0.2743 0.3261 0.1150  2 Y 2.29-2.30
24 F 0.9094 0.6941 0.6233  2 Y 2.31-2.32, 2 F 2.52-2.57, 1 Sr 2.53
25 F 0.6233 0.9094 0.6941  2 Y 2.31-2.32, 2 F 2.52-2.57, 1 Sr 2.53
26 F 0.6941 0.6233 0.9094  2 Y 2.31-2.32, 2 F 2.52-2.57, 1 Sr 2.53
27 F 0.1658 0.0529 0.7924  2 Y 2.25-2.33
28 F 0.7924 0.1658 0.0529  2 Y 2.25-2.33
29 F 0.0529 0.7924 0.1658  2 Y 2.25-2.33
30 F 0.8427 0.9520 0.2140  2 Y 2.27-2.28
31 F 0.2140 0.8427 0.9520  2 Y 2.27-2.28
32 F 0.9520 0.2140 0.8427  2 Y 2.27-2.28
33 F 0.9525 0.4946 0.3196  1 Y 2.31, 3 Sr 2.56-2.57
34 F 0.3196 0.9525 0.4946  1 Y 2.31, 3 Sr 2.56-2.57
35 F 0.4946 0.3196 0.9525  1 Y 2.31, 3 Sr 2.56-2.57
36 F 0.0594 0.5075 0.6885  3 Sr 2.46-2.56, 1 Y 2.54, 1 F 2.57
37 F 0.6885 0.0594 0.5075  3 Sr 2.46-2.56, 1 Y 2.54, 1 F 2.57
38 F 0.5075 0.6885 0.0594  3 Sr 2.46-2.56, 1 Y 2.54, 1 F 2.57
39 F 0.0279 0.1664 0.5598  1 Y 2.28, 2 Sr 2.51-2.52
40 F 0.5598 0.0279 0.1664  1 Y 2.28, 2 Sr 2.51-2.52
41 F 0.1664 0.5598 0.0279  1 Y 2.28, 2 Sr 2.51-2.52
42 F 0.9831 0.8488 0.4491  2 Y 2.27-2.49, 1 Sr 2.51, 1 F 2.52
43 F 0.4491 0.9831 0.8488  2 Y 2.27-2.49, 1 Sr 2.51, 1 F 2.52
44 F 0.8488 0.4491 0.9831  2 Y 2.27-2.49, 1 Sr 2.51, 1 F 2.52


No. 2
Density functional theory data (GGA-PBE) for a geometry-optimized SrYOF2 structure.

Properties
N(E_F), states/eV/cell: 1.55
ΔE to the lowest computed polymorph, eV per atom: 0.0000

a b c (Å): 4.6126 4.6126 4.3960
angles (deg): 90.00 90.00 90.00
With the nearest neighbours (Å) after each atom.
Element x y z (fractional)
1 Y 0.0000 0.0000 0.0000  2 O 2.20, 4 F 2.31
2 Sr 0.5000 0.5000 0.5000  8 F 3.19, 4 O 3.26
3 O 0.0000 0.0000 0.5000  2 Y 2.20
4 F 0.0000 0.5000 0.0000  2 Y 2.31
5 F 0.5000 0.0000 0.0000  2 Y 2.31